(1)
Below is a relaxed structure of BeGaAu, with properties calculated at the PBE-GGA level.

Summary:
Calculated density = 9.1 g/cm³
Crystal system = cubic
Energy = -10.09 eV for the cell shown

```
3
Lattice="0.000 2.926 2.926 2.926 0.000 2.926 2.926 2.926 0.000" Properties=species:S:1:pos:R:3 pbc="T T T"
Be 0.000 0.000 0.000
Ga 2.926 2.926 2.926
Au 1.463 1.463 1.463
```



(2)
Below is a relaxed structure of BeGaHgAu, with properties calculated at the PBE-GGA level.

Summary:
Calculated density = 11.1 g/cm³
Crystal system = cubic
Energy = -8.79 eV for the cell shown

```
4
Lattice="0.000 3.294 3.294 3.294 0.000 3.294 3.294 3.294 0.000" Properties=species:S:1:pos:R:3 pbc="T T T"
Be 0.000 0.000 0.000
Ga 4.941 4.941 4.941
Hg 3.294 3.294 3.294
Au 1.647 1.647 1.647
```



The highest energy belongs to which entry?
BeGaHgAu



What did the first record say?
Below is a relaxed structure of BeGaAu, with properties calculated at the PBE-GGA level.

Summary:
Calculated density = 9.1 g/cm³
Crystal system = cubic
Energy = -10.09 eV for the cell shown

```
3
Lattice="0.000 2.926 2.926 2.926 0.000 2.926 2.926 2.926 0.000" Properties=species:S:1:pos:R:3 pbc="T T T"
Be 0.000 0.000 0.000
Ga 2.926 2.926 2.926
Au 1.463 1.463 1.463
```



Look up the calculated density of the first one.
9.1 g/cm³



Among the records above, which one has the lowest energy?
BeGaAu